Record 1
First-principles (PBE) data for crystalline Na2ZnGe4Pt3 at its relaxed geometry, as listed in the Alexandria database.

Lattice parameters (Å, degrees): 4.338 4.338 10.300 90.00 90.00 90.00
Atoms (fractional coordinates):
Ge1 0.000 0.500 0.368
Ge2 0.500 0.500 0.000
Ge3 0.000 0.000 0.000
Ge4 0.500 0.000 0.632
Na1 0.500 0.000 0.253
Na2 0.000 0.500 0.747
Zn1 0.500 0.500 0.500
Pt1 0.000 0.000 0.500
Pt2 0.500 0.000 0.873
Pt3 0.000 0.500 0.127

Properties
Its symmetry is No. 115. As for the crystal system: tetragonal. The total DFT energy (no corrections) comes out at -4.421 eV per atom.



Record 2
First-principles (PBE) data for crystalline NaZnGePt2 at its relaxed geometry, as listed in the Alexandria database.

Lattice parameters (Å, degrees): 4.521 4.520 6.189 89.95 90.00 90.00
Atoms (fractional coordinates):
Pt1 0.000 0.500 0.869
Pt2 0.500 0.000 0.869
Ge1 0.000 0.000 0.037
Zn1 0.500 0.500 0.707
Na1 0.000 0.000 0.518

Properties
Its symmetry is No. 99. As for the crystal system: tetragonal. The total DFT energy (no corrections) comes out at -4.046 eV per atom.



Record 3
First-principles (PBE) data for crystalline Na2ZnGe2Pt5 at its relaxed geometry, as listed in the Alexandria database.

Lattice parameters (Å, degrees): 3.663 9.586 9.586 90.00 90.00 90.00
Atoms (fractional coordinates):
Pt1 0.500 0.199 0.067
Pt2 0.500 0.933 0.199
Pt3 0.500 0.301 0.567
Pt4 0.500 0.067 0.801
Pt5 0.500 0.801 0.933
Pt6 0.500 0.699 0.433
Pt7 0.500 0.500 0.000
Pt8 0.500 0.000 0.500
Pt9 0.500 0.433 0.301
Pt10 0.500 0.567 0.699
Ge1 0.000 0.630 0.870
Ge2 0.000 0.870 0.370
Ge3 0.000 0.370 0.130
Ge4 0.000 0.130 0.630
Zn1 0.000 0.500 0.500
Zn2 0.000 0.000 0.000
Na1 0.000 0.671 0.171
Na2 0.000 0.171 0.329
Na3 0.000 0.829 0.671
Na4 0.000 0.329 0.829

Properties
Its symmetry is No. 127. As for the crystal system: tetragonal. The total DFT energy (no corrections) comes out at -4.743 eV per atom.



Record 4
First-principles (PBE) data for crystalline NaZnGePt at its relaxed geometry, as listed in the Alexandria database.

Lattice parameters (Å, degrees): 4.519 4.519 4.519 60.00 60.00 60.00
Atoms (fractional coordinates):
Ge1 0.250 0.250 0.250
Pt1 0.500 0.500 0.500
Zn1 0.750 0.750 0.750
Na1 0.000 0.000 0.000

Properties
Its symmetry is No. 216. For the energy above the most stable polymorph in this dataset, the calculation gives 79 meV/atom. As for the crystal system: cubic.



Record 5
First-principles (PBE) data for crystalline NaZnGePt at its relaxed geometry, as listed in the Alexandria database.

Lattice parameters (Å, degrees): 4.296 4.296 5.878 68.56 68.56 60.00
Atoms (fractional coordinates):
Zn1 0.266 0.266 0.201
Ge1 0.013 0.013 0.962
Pt1 0.632 0.632 0.105
Na1 0.815 0.815 0.554

Properties
Its symmetry is No. 160. For the energy above the most stable polymorph in this dataset, the calculation gives 0 meV/atom. As for the crystal system: trigonal.



Record 6
First-principles (PBE) data for crystalline Na2ZrGe3Pt4 at its relaxed geometry, as listed in the Alexandria database.

Lattice parameters (Å, degrees): 4.147 4.147 11.249 90.00 90.00 90.00
Atoms (fractional coordinates):
Ge1 0.000 0.500 0.132
Ge2 0.000 0.000 0.500
Ge3 0.500 0.000 0.868
Na1 0.500 0.000 0.238
Na2 0.000 0.500 0.762
Pt1 0.500 0.000 0.652
Pt2 0.000 0.000 0.000
Pt3 0.000 0.500 0.348
Pt4 0.500 0.500 0.000
Zr1 0.500 0.500 0.500

Properties
Its symmetry is No. 115. As for the crystal system: tetragonal. The total DFT energy (no corrections) comes out at -5.489 eV per atom.



Record 7
First-principles (PBE) data for crystalline NaPuGe at its relaxed geometry, as listed in the Alexandria database.

Lattice parameters (Å, degrees): 3.795 3.795 12.269 81.10 81.10 60.00
Atoms (fractional coordinates):
Na1 0.877 0.877 0.368
Na2 0.123 0.123 0.632
Ge1 0.601 0.601 0.197
Ge2 0.399 0.399 0.803
Pu1 0.680 0.680 0.960
Pu2 0.320 0.320 0.040

Properties
Its symmetry is No. 166. As for the crystal system: trigonal. The total DFT energy (no corrections) comes out at -6.682 eV per atom.



Record 8
First-principles (PBE) data for crystalline NaPu2Ge at its relaxed geometry, as listed in the Alexandria database.

Lattice parameters (Å, degrees): 3.687 3.687 8.285 90.00 90.00 90.00
Atoms (fractional coordinates):
Pu1 0.000 0.000 0.180
Pu2 0.000 0.000 0.820
Ge1 0.500 0.500 0.000
Na1 0.500 0.500 0.500

Properties
Its symmetry is No. 123. As for the crystal system: tetragonal. The total DFT energy (no corrections) comes out at -8.643 eV per atom.



Record 9
First-principles (PBE) data for crystalline NaPu2Ge3 at its relaxed geometry, as listed in the Alexandria database.

Lattice parameters (Å, degrees): 3.172 3.172 13.041 90.00 90.00 90.00
Atoms (fractional coordinates):
Ge1 0.000 0.000 0.000
Ge2 0.000 0.000 0.326
Ge3 0.000 0.000 0.674
Na1 0.500 0.500 0.500
Pu1 0.500 0.500 0.837
Pu2 0.500 0.500 0.163

Properties
Its symmetry is No. 123. As for the crystal system: tetragonal. The total DFT energy (no corrections) comes out at -7.575 eV per atom.



Record 10
First-principles (PBE) data for crystalline Na4Pu3GeS8 at its relaxed geometry, as listed in the Alexandria database.

Lattice parameters (Å, degrees): 7.927 6.801 10.391 131.52 112.42 90.00
Atoms (fractional coordinates):
S1 0.831 0.901 0.166
S2 0.665 0.099 0.834
S3 0.331 0.428 0.663
S4 0.335 0.901 0.166
S5 0.172 0.570 0.343
S6 0.828 0.430 0.657
S7 0.669 0.572 0.337
S8 0.169 0.099 0.834
Pu1 0.000 0.500 0.500
Pu2 0.500 0.500 0.500
Pu3 0.500 0.500 0.000
Na1 0.000 0.000 0.500
Na2 0.000 0.000 0.000
Na3 0.500 0.000 0.500
Na4 0.500 0.000 0.000
Ge1 0.000 0.500 0.000

Properties
Its symmetry is No. 12. As for the uncorrected formation energy: -1197.5 meV per atom. As for the crystal system: monoclinic.



Record 11
First-principles (PBE) data for crystalline NaPuGeSe3 at its relaxed geometry, as listed in the Alexandria database.

Lattice parameters (Å, degrees): 4.064 7.712 11.617 107.01 90.00 90.00
Atoms (fractional coordinates):
Ge1 0.750 0.854 0.435
Ge2 0.250 0.146 0.565
Pu1 0.250 0.650 0.153
Pu2 0.750 0.350 0.847
Se1 0.250 0.626 0.902
Se2 0.250 0.069 0.763
Se3 0.750 0.374 0.098
Se4 0.750 0.371 0.601
Se5 0.750 0.931 0.237
Se6 0.250 0.629 0.399
Na1 0.250 0.221 0.236
Na2 0.750 0.779 0.764

Properties
Its symmetry is No. 11. As for the uncorrected formation energy: -974.9 meV per atom. As for the crystal system: monoclinic.



Record 12
First-principles (PBE) data for crystalline Na2PuGeSe4 at its relaxed geometry, as listed in the Alexandria database.

Lattice parameters (Å, degrees): 4.143 7.249 7.200 71.16 90.00 90.00
Atoms (fractional coordinates):
Se1 0.000 0.720 0.756
Se2 0.000 0.280 0.244
Se3 0.500 0.275 0.743
Se4 0.500 0.725 0.257
Pu1 0.000 0.500 0.500
Na1 0.500 0.000 0.500
Na2 0.000 0.000 0.000
Ge1 0.500 0.500 0.000

Properties
Its symmetry is No. 10. As for the uncorrected formation energy: -986.2 meV per atom. As for the crystal system: monoclinic.